Record 1
K2AcSn2O7 after structural relaxation, computed with PBE.

Energy relative to the elements, uncorrected ... -1.903 eV/atom
Space group ... I4/mmm, No. 139

Unit cell a=4.1330 b=4.1330 c=11.5456 alpha=79.69 beta=79.69 gamma=90.00
Closest atoms and distances in Å follow each position.
Atoms (fractional coordinates):
K: 0.8067 0.8067 0.3866  5 O 2.69-2.93
K: 0.1933 0.1933 0.6134  5 O 2.69-2.93
Ac: 0.0000 0.0000 0.0000  12 O 2.74-2.92
Sn: 0.5970 0.5970 0.8059  6 O 1.99-2.17
Sn: 0.4030 0.4030 0.1941  6 O 1.99-2.17
O: 0.5000 0.5000 0.0000  2 Sn 2.17
O: 0.3138 0.3138 0.3724  1 Sn 1.99
O: 0.6862 0.6862 0.6276  1 Sn 1.99
O: 0.9197 0.4197 0.1606  2 Sn 2.10
O: 0.4197 0.9197 0.1606  2 Sn 2.10
O: 0.5803 0.0803 0.8394  2 Sn 2.10
O: 0.0803 0.5803 0.8394  2 Sn 2.10

Record 2
Tb5DyHoEr2 after structural relaxation, computed with PBE.

Space group ... Cmc2_1, No. 36
Energy of formation from the pure elements ... 0.16 eV per atom

Unit cell a=5.5653 b=10.2797 c=10.5143 alpha=90.00 beta=90.00 gamma=105.71
Closest atoms and distances in Å follow each position.
Atoms (fractional coordinates):
Tb: 0.3887 0.7774 0.0229  6 Tb 3.46-3.78, 4 Er 3.53-3.58, 1 Ho 3.75
Tb: 0.7188 0.4376 0.8101  1 Dy 3.02, 1 Er 3.31, 2 Tb 3.38
Tb: 0.4796 0.9593 0.7395  2 Dy 3.12-3.26, 2 Er 3.44, 2 Tb 3.46-3.48
Tb: 0.2994 0.5988 0.7074  4 Tb 3.38-3.76, 1 Dy 3.46, 3 Ho 3.47-3.75, 3 Er 3.47-3.75
Tb: 0.9822 0.9643 0.5224  2 Dy 3.18, 3 Er 3.39-3.51
Tb: 0.6113 0.2226 0.5229  6 Tb 3.46-3.78, 4 Er 3.53-3.58, 1 Ho 3.75
Tb: 0.2812 0.5624 0.3101  1 Dy 3.02, 1 Er 3.31, 2 Tb 3.38
Tb: 0.5204 0.0407 0.2395  2 Dy 3.12-3.26, 2 Er 3.44, 2 Tb 3.46-3.48
Tb: 0.7006 0.4012 0.2074  4 Tb 3.38-3.76, 1 Dy 3.46, 3 Ho 3.47-3.75, 3 Er 3.47-3.75
Tb: 0.0178 0.0357 0.0224  2 Dy 3.18, 3 Er 3.39-3.51
Dy: 0.5872 0.1745 0.9564  5 Tb 3.02-3.26
Dy: 0.4128 0.8255 0.4564  5 Tb 3.02-3.26
Ho: 0.8004 0.6009 0.5110  2 Er 3.37-3.64, 8 Tb 3.47-3.75, 2 Dy 3.61
Ho: 0.1996 0.3991 0.0110  2 Er 3.37-3.64, 8 Tb 3.47-3.75, 2 Dy 3.61
Er: 0.8860 0.7720 0.8169  9 Tb 3.31-3.63, 1 Ho 3.64
Er: 0.1104 0.2208 0.7374  1 Ho 3.37, 7 Tb 3.40-3.75, 2 Dy 3.64
Er: 0.1140 0.2280 0.3169  9 Tb 3.31-3.63, 1 Ho 3.64
Er: 0.8896 0.7792 0.2374  1 Ho 3.37, 7 Tb 3.40-3.75, 2 Dy 3.64

Record 3
MnGe2H after structural relaxation, computed with PBE.

Energy relative to the lowest polymorph listed for this composition ... 0.15 eV/f.u.
Space group ... I-42d, No. 122

Unit cell a=4.4516 b=4.4516 c=7.2407 alpha=72.10 beta=72.10 gamma=90.00
Closest atoms and distances in Å follow each position.
Atoms (fractional coordinates):
H: 0.5000 0.5000 0.0000  4 Ge 2.09
H: 0.2500 0.7500 0.5000  4 Ge 2.09
Ge: 0.5272 0.1250 0.2500  2 H 2.09
Ge: 0.2228 0.6250 0.2500  2 H 2.09
Ge: 0.3750 0.4728 0.7500  2 H 2.09
Ge: 0.8750 0.7772 0.7500  2 H 2.09
Mn: 0.0000 0.0000 0.0000  4 Ge 2.51
Mn: 0.7500 0.2500 0.5000  4 Ge 2.51

Number 1: density of states at the Fermi level 10.3 states/eV/cell, calculated density 5.70 g/cm³. Number 2: density of states at the Fermi level 29.2 states/eV/cell, calculated density 8.35 g/cm³. Number 3: density of states at the Fermi level 2.8 states/eV/cell, calculated density 5.17 g/cm³.